Computed, not measured: crystalline RbYSn2F8 at its relaxed geometry at the PBE level of DFT.

Output
Fermi-level density of states (states/eV per cell): 0.00
E_tot (eV for the cell shown): -65.89
Energy relative to the elements, uncorrected (eV per atom): -2.957
SG: P2/m, No. 10

a = 6.2394 Å, b = 4.2204 Å, c = 8.4772 Å
α = 90.00°, β = 96.00°, γ = 90.00°
Fractional coordinates of all 12 atoms:
Rb 0.0000 0.0000 0.0000
Y 0.0000 0.0000 0.5000
Sn 0.4636 0.5000 0.7505
Sn 0.5364 0.5000 0.2495
F 0.1831 0.5000 0.5591
F 0.2034 0.0000 0.3103
F 0.2773 0.5000 0.9439
F 0.2891 0.0000 0.7135
F 0.7109 0.0000 0.2865
F 0.7227 0.5000 0.0561
F 0.7966 0.0000 0.6897
F 0.8169 0.5000 0.4409